The following is a PBE calculation of HoGe3Ru3 after structural relaxation, from the Alexandria database.

Cell: 6.7223 6.7223 20.1924 Å, 90.00 90.00 120.00°
Space group R-3 (No. 148, hexagonal axes)
Symmetry-distinct sites (fractional):
Ho  0.0000  0.0000  0.1681 [6 per cell]
Ge  0.0483  0.4310  0.2574 [18 per cell]
Ru  0.0258  0.2614  0.7140 [18 per cell]

Computed properties:
Magnetic moment = 0.00 μB per cell
E above lowest polymorph = 0.0 meV per atom
DOS at the Fermi energy = 25.73 states/eV per cell

---

The following is a PBE calculation of Ho2Ge4Ru3 after structural relaxation, from the Alexandria database.

Cell: 5.5453 9.6128 12.3912 Å, 90.00 90.00 90.00°
Space group Fmmm (No. 69)
Symmetry-distinct sites (fractional):
Ho  0.0000  0.0000  0.1312 [8 per cell]
Ge  0.0000  0.1693  0.3428 [16 per cell]
Ru  0.0000  0.0000  0.5000 [4 per cell]
Ru  0.2500  0.2500  0.0000 [8 per cell]

Computed properties:
Energy = -59.8 eV per formula unit
Magnetic moment = 0.00 μB per cell
DOS at the Fermi energy = 36.33 states/eV per cell

---

The following is a PBE calculation of HoGe2Ru after structural relaxation, from the Alexandria database.

Cell: 4.7174 4.7174 18.8171 Å, 90.00 90.00 120.00°
Space group R-3m (No. 166, hexagonal axes)
Symmetry-distinct sites (fractional):
Ho  0.0000  0.0000  0.0000 [3 per cell]
Ge  0.0000  0.0000  0.3746 [6 per cell]
Ru  0.0000  0.0000  0.5000 [3 per cell]

Computed properties:
Energy = -19.5 eV per formula unit
Magnetic moment = 5.30 μB per cell
DOS at the Fermi energy = 17.13 states/eV per cell

---

The following is a PBE calculation of HoGe2Ru after structural relaxation, from the Alexandria database.

Cell: 4.2206 9.0693 15.9366 Å, 90.00 90.00 90.00°
Space group Immm (No. 71)
Symmetry-distinct sites (fractional):
Ho  0.0000  0.0000  0.2085 [4 per cell]
Ho  0.0000  0.2414  0.0000 [4 per cell]
Ge  0.0000  0.0000  0.4191 [4 per cell]
Ge  0.0000  0.3428  0.2004 [8 per cell]
Ge  0.0000  0.5000  0.4215 [4 per cell]
Ru  0.0000  0.2496  0.3576 [8 per cell]

Computed properties:
Energy = -25.6 eV per formula unit
Magnetic moment = 0.00 μB per cell
DOS at the Fermi energy = 19.63 states/eV per cell

---

The following is a PBE calculation of HoGeRu2 after structural relaxation, from the Alexandria database.

Cell: 3.2175 3.2175 6.4202 Å, 90.00 90.00 90.00°
Space group P4/mmm (No. 123)
Symmetry-distinct sites (fractional):
Ho  0.0000  0.0000  0.0000 [1 per cell]
Ge  0.0000  0.0000  0.5000 [1 per cell]
Ru  0.5000  0.5000  0.2840 [2 per cell]

Computed properties:
Energy = -29.0 eV per formula unit
Magnetic moment = 0.00 μB per cell
DOS at the Fermi energy = 3.30 states/eV per cell

---

The following is a PBE calculation of Ho2Si2GeRu5 after structural relaxation, from the Alexandria database.

Cell: 9.9630 9.9630 3.2031 Å, 90.00 90.00 90.00°
Space group P4/mbm (No. 127)
Symmetry-distinct sites (fractional):
Ho  0.1733  0.3267  0.0000 [4 per cell]
Si  0.1275  0.6275  0.0000 [4 per cell]
Ge  0.0000  0.0000  0.0000 [2 per cell]
Ru  0.0000  0.5000  0.5000 [2 per cell]
Ru  0.0662  0.7948  0.5000 [8 per cell]

Computed properties:
Magnetic moment = 0.00 μB per cell
DOS at the Fermi energy = 9.01 states/eV per cell
E_form (uncorrected) = -0.661 eV/atom

---

| no. | calculated density (Mg/m³) |
| --- | --- |
| 1 | 8.6 |
| 2 | 9.3 |
| 3 | 5.6 |
| 4 | 9.0 |
| 5 | 11.0 |
| 6 | 10.1 |